Record 1
Co5W after structural relaxation. Source: the Alexandria database, functional PBE.

## Properties
ΔH_f (0 K) = 106 meV per atom
Density = 11.5 Mg/m³
Calculated total energy = -7.975 eV per atom
Energy above the most stable polymorph in this dataset = 0.087 eV/atom

Geometry as CIF:
```
data_Co5W
_cell_length_a 6.5232
_cell_length_b 6.5232
_cell_length_c 6.5232
_cell_angle_alpha 90.00
_cell_angle_beta 90.00
_cell_angle_gamma 90.00
_symmetry_space_group_name_H-M 'F -4 3 m'
_symmetry_Int_Tables_number 216
_symmetry_space_group_name_Hall 'F -4 2 3'
loop_
_atom_site_label
_atom_site_fract_x
_atom_site_fract_y
_atom_site_fract_z
Co1 0.0000 0.0000 0.0000
Co2 0.1256 0.1256 0.6256
W1 0.2500 0.2500 0.2500
```


Record 2
LiOsRh3 after structural relaxation. Source: the Alexandria database, functional PBE.

## Properties
ΔH_f (0 K) = 852 meV per atom
Density = 12.5 Mg/m³
Calculated total energy = -6.187 eV per atom
Energy above the most stable polymorph in this dataset = 0.865 eV/atom

Geometry as CIF:
```
data_LiOsRh3
_cell_length_a 4.0674
_cell_length_b 4.0674
_cell_length_c 4.0674
_cell_angle_alpha 90.00
_cell_angle_beta 90.00
_cell_angle_gamma 90.00
_symmetry_space_group_name_H-M 'P m -3 m'
_symmetry_Int_Tables_number 221
_symmetry_space_group_name_Hall '-P 4 2 3'
loop_
_atom_site_label
_atom_site_fract_x
_atom_site_fract_y
_atom_site_fract_z
Li1 0.0000 0.0000 0.0000
Os1 0.5000 0.5000 0.5000
Rh1 0.0000 0.0000 0.5000
```


Record 3
ReAg2Se after structural relaxation. Source: the Alexandria database, functional PBE.

## Properties
Formation energy (no corrections) = 877 meV/atom
Density = 11.3 Mg/m³
Calculated total energy = -4.532 eV per atom

Geometry as CIF:
```
data_ReAg2Se
_cell_length_a 3.7920
_cell_length_b 3.7920
_cell_length_c 9.8618
_cell_angle_alpha 90.00
_cell_angle_beta 90.00
_cell_angle_gamma 90.00
_symmetry_space_group_name_H-M 'I 4/m m m'
_symmetry_Int_Tables_number 139
_symmetry_space_group_name_Hall '-I 4 2'
loop_
_atom_site_label
_atom_site_fract_x
_atom_site_fract_y
_atom_site_fract_z
Re1 0.0000 0.0000 0.0000
Ag1 0.0000 0.5000 0.2500
Se1 0.0000 0.0000 0.5000
```


Record 4
SmNb4N6 after structural relaxation. Source: the Alexandria database, functional PBE.

## Properties
Formation energy (no corrections) = -1087 meV/atom
Density = 7.7 Mg/m³
Calculated total energy = -9.718 eV per atom

Geometry as CIF:
```
data_SmNb4N6
_cell_length_a 3.1674
_cell_length_b 10.3630
_cell_length_c 15.8330
_cell_angle_alpha 90.00
_cell_angle_beta 90.00
_cell_angle_gamma 90.00
_symmetry_space_group_name_H-M 'C m c m'
_symmetry_Int_Tables_number 63
_symmetry_space_group_name_Hall '-C 2c 2'
loop_
_atom_site_label
_atom_site_fract_x
_atom_site_fract_y
_atom_site_fract_z
Sm1 0.0000 0.1538 0.2500
Nb1 0.0000 0.1019 0.6298
Nb2 0.0000 0.3538 0.5420
N1 0.0000 0.0000 0.0000
N2 0.0000 0.1658 0.7500
N3 0.0000 0.2639 0.0929
N4 0.0000 0.4648 0.6568
```


Record 5
CaAcIn2Ag4 after structural relaxation. Source: the Alexandria database, functional PBE.

## Properties
ΔH_f (0 K) = -283 meV per atom
Density = 8.0 Mg/m³
Calculated total energy = -3.157 eV per atom

Geometry as CIF:
```
data_CaAcIn2Ag4
_cell_length_a 5.0093
_cell_length_b 5.0093
_cell_length_c 26.5901
_cell_angle_alpha 90.00
_cell_angle_beta 90.00
_cell_angle_gamma 120.00
_symmetry_space_group_name_H-M 'R -3 m'
_symmetry_Int_Tables_number 166
_symmetry_space_group_name_Hall '-R 3 2"'
loop_
_atom_site_label
_atom_site_fract_x
_atom_site_fract_y
_atom_site_fract_z
Ca1 0.0000 0.0000 0.0000
Ac1 0.0000 0.0000 0.5000
In1 0.0000 0.0000 0.2547
Ag1 0.0000 0.0000 0.1104
Ag2 0.0000 0.0000 0.3728
```


Record 6
LiAg3 after structural relaxation. Source: the Alexandria database, functional PBE.

## Properties
ΔH_f (0 K) = -94 meV per atom
Density = 7.9 Mg/m³
Calculated total energy = -2.711 eV per atom

Geometry as CIF:
```
data_LiAg3
_cell_length_a 3.0136
_cell_length_b 4.8871
_cell_length_c 5.4718
_cell_angle_alpha 116.00
_cell_angle_beta 105.28
_cell_angle_gamma 90.64
_symmetry_space_group_name_H-M 'P 1'
_symmetry_Int_Tables_number 1
_symmetry_space_group_name_Hall 'P 1'
loop_
_atom_site_label
_atom_site_fract_x
_atom_site_fract_y
_atom_site_fract_z
Li1 0.0000 0.0000 0.0000
Ag1 0.2561 0.8965 0.5002
Ag2 0.5006 0.4969 0.9996
Ag3 0.7575 0.3963 0.4995
```


Record 7
SrCrMo after structural relaxation. Source: the Alexandria database, functional PBE.

## Properties
ΔH_f (0 K) = 983 meV per atom
Density = 6.3 Mg/m³
Calculated total energy = -6.396 eV per atom
Energy above the most stable polymorph in this dataset = 0.272 eV/atom

Geometry as CIF:
```
data_SrCrMo
_cell_length_a 3.3658
_cell_length_b 5.1330
_cell_length_c 14.3220
_cell_angle_alpha 90.00
_cell_angle_beta 90.00
_cell_angle_gamma 90.00
_symmetry_space_group_name_H-M 'F m m 2'
_symmetry_Int_Tables_number 42
_symmetry_space_group_name_Hall 'F 2 -2'
loop_
_atom_site_label
_atom_site_fract_x
_atom_site_fract_y
_atom_site_fract_z
Sr1 0.0000 0.0000 0.0000
Cr1 0.0000 0.0000 0.6892
Mo1 0.0000 0.0000 0.2999
```


Record 8
PrErScTl after structural relaxation. Source: the Alexandria database, functional PBE.

## Properties
ΔH_f (0 K) = -60 meV per atom
Density = 8.2 Mg/m³
Calculated total energy = -4.570 eV per atom

Geometry as CIF:
```
data_PrErScTl
_cell_length_a 7.6823
_cell_length_b 7.6823
_cell_length_c 7.6823
_cell_angle_alpha 90.00
_cell_angle_beta 90.00
_cell_angle_gamma 90.00
_symmetry_space_group_name_H-M 'F -4 3 m'
_symmetry_Int_Tables_number 216
_symmetry_space_group_name_Hall 'F -4 2 3'
loop_
_atom_site_label
_atom_site_fract_x
_atom_site_fract_y
_atom_site_fract_z
Pr1 0.0000 0.0000 0.0000
Er1 0.0000 0.0000 0.5000
Sc1 0.2500 0.2500 0.7500
Tl1 0.2500 0.2500 0.2500
```


Record 9
Rb2TmSnTe4 after structural relaxation. Source: the Alexandria database, functional PBE.

## Properties
Formation energy (no corrections) = -892 meV/atom
Density = 5.4 Mg/m³
Calculated total energy = -3.764 eV per atom

Geometry as CIF:
```
data_Rb2TmSnTe4
_cell_length_a 9.3182
_cell_length_b 9.6393
_cell_length_c 13.3806
_cell_angle_alpha 90.00
_cell_angle_beta 90.00
_cell_angle_gamma 90.00
_symmetry_space_group_name_H-M 'I m m a'
_symmetry_Int_Tables_number 74
_symmetry_space_group_name_Hall '-I 2b 2'
loop_
_atom_site_label
_atom_site_fract_x
_atom_site_fract_y
_atom_site_fract_z
Rb1 0.0000 0.0000 0.0000
Rb2 0.2500 0.2500 0.2500
Tm1 0.2500 0.2500 0.7500
Sn1 0.0000 0.0000 0.5000
Te1 0.0000 0.0363 0.7352
Te2 0.2188 0.2500 0.5204
```


Record 10
SbSe4Cl after structural relaxation. Source: the Alexandria database, functional PBE.

## Properties
Formation energy (no corrections) = 383 meV/atom
Density = 5.9 Mg/m³
Calculated total energy = -2.935 eV per atom

Geometry as CIF:
```
data_SbSe4Cl
_cell_length_a 8.1008
_cell_length_b 8.1008
_cell_length_c 8.1008
_cell_angle_alpha 90.00
_cell_angle_beta 90.00
_cell_angle_gamma 90.00
_symmetry_space_group_name_H-M 'F -4 3 m'
_symmetry_Int_Tables_number 216
_symmetry_space_group_name_Hall 'F -4 2 3'
loop_
_atom_site_label
_atom_site_fract_x
_atom_site_fract_y
_atom_site_fract_z
Sb1 0.0000 0.0000 0.0000
Se1 0.1265 0.1265 0.6265
Cl1 0.2500 0.2500 0.2500
```


Record 11
BaCdPb after structural relaxation. Source: the Alexandria database, functional PBE.

## Properties
ΔH_f (0 K) = -319 meV per atom
Density = 6.9 Mg/m³
Calculated total energy = -2.501 eV per atom

Geometry as CIF:
```
data_BaCdPb
_cell_length_a 4.0002
_cell_length_b 6.1358
_cell_length_c 17.9572
_cell_angle_alpha 90.00
_cell_angle_beta 90.00
_cell_angle_gamma 90.00
_symmetry_space_group_name_H-M 'I m m m'
_symmetry_Int_Tables_number 71
_symmetry_space_group_name_Hall '-I 2 2'
loop_
_atom_site_label
_atom_site_fract_x
_atom_site_fract_y
_atom_site_fract_z
Ba1 0.0000 0.0000 0.1559
Cd1 0.0000 0.2562 0.5000
Pb1 0.0000 0.0000 0.3554
```


Record 12
BaFeRh3 after structural relaxation. Source: the Alexandria database, functional PBE.

## Properties
ΔH_f (0 K) = 381 meV per atom
Density = 8.1 Mg/m³
Calculated total energy = -6.107 eV per atom
Energy above the most stable polymorph in this dataset = 0.000 eV/atom

Geometry as CIF:
```
data_BaFeRh3
_cell_length_a 4.6922
_cell_length_b 4.6922
_cell_length_c 4.6922
_cell_angle_alpha 90.00
_cell_angle_beta 90.00
_cell_angle_gamma 90.00
_symmetry_space_group_name_H-M 'P m -3 m'
_symmetry_Int_Tables_number 221
_symmetry_space_group_name_Hall '-P 4 2 3'
loop_
_atom_site_label
_atom_site_fract_x
_atom_site_fract_y
_atom_site_fract_z
Ba1 0.0000 0.0000 0.0000
Fe1 0.5000 0.5000 0.5000
Rh1 0.0000 0.5000 0.5000
```


Record 13
CeHg2Pb after structural relaxation. Source: the Alexandria database, functional PBE.

## Properties
ΔH_f (0 K) = 173 meV per atom
Density = 8.3 Mg/m³
Calculated total energy = -2.389 eV per atom

Geometry as CIF:
```
data_CeHg2Pb
_cell_length_a 5.4139
_cell_length_b 5.4139
_cell_length_c 5.8873
_cell_angle_alpha 90.00
_cell_angle_beta 90.00
_cell_angle_gamma 120.00
_symmetry_space_group_name_H-M 'P -6 m 2'
_symmetry_Int_Tables_number 187
_symmetry_space_group_name_Hall 'P -6 2'
loop_
_atom_site_label
_atom_site_fract_x
_atom_site_fract_y
_atom_site_fract_z
Ce1 0.0000 0.0000 0.0000
Hg1 0.3333 0.6667 0.0000
Hg2 0.6667 0.3333 0.0000
Pb1 0.3333 0.6667 0.5000
```


Record 14
PmY3Mg6 after structural relaxation. Source: the Alexandria database, functional PBE.

## Properties
ΔH_f (0 K) = -89 meV per atom
Density = 3.4 Mg/m³
Calculated total energy = -3.460 eV per atom

Geometry as CIF:
```
data_PmY3Mg6
_cell_length_a 9.2953
_cell_length_b 5.3072
_cell_length_c 11.3308
_cell_angle_alpha 90.00
_cell_angle_beta 106.12
_cell_angle_gamma 90.00
_symmetry_space_group_name_H-M 'P 1 21/m 1'
_symmetry_Int_Tables_number 11
_symmetry_space_group_name_Hall '-P 2yb'
loop_
_atom_site_label
_atom_site_fract_x
_atom_site_fract_y
_atom_site_fract_z
Pm1 0.0536 0.2500 0.3957
Y1 0.2472 0.2500 0.9981
Y2 0.3511 0.7500 0.7965
Y3 0.4577 0.2500 0.6045
Mg1 0.0495 0.7500 0.9026
Mg2 0.1461 0.2500 0.7021
Mg3 0.1472 0.7500 0.1952
Mg4 0.2477 0.7500 0.4928
Mg5 0.3438 0.2500 0.2942
Mg6 0.4444 0.7500 0.0991
```


Record 15
Ce3Tl3PbSe8 after structural relaxation. Source: the Alexandria database, functional PBE.

## Properties
Formation energy (no corrections) = -1172 meV/atom
Density = 6.3 Mg/m³
Calculated total energy = -4.938 eV per atom

Geometry as CIF:
```
data_Ce3Tl3PbSe8
_cell_length_a 8.6384
_cell_length_b 8.6384
_cell_length_c 22.7630
_cell_angle_alpha 90.00
_cell_angle_beta 90.00
_cell_angle_gamma 120.00
_symmetry_space_group_name_H-M 'R -3 m'
_symmetry_Int_Tables_number 166
_symmetry_space_group_name_Hall '-R 3 2"'
loop_
_atom_site_label
_atom_site_fract_x
_atom_site_fract_y
_atom_site_fract_z
Ce1 0.0000 0.5000 0.0000
Tl1 0.0000 0.5000 0.5000
Pb1 0.0000 0.0000 0.0000
Se1 0.0000 0.0000 0.2638
Se2 0.0196 0.5098 0.2642
```


Record 16
CaCd3I8 after structural relaxation. Source: the Alexandria database, functional PBE.

## Properties
Formation energy (no corrections) = -825 meV/atom
Density = 4.6 Mg/m³
Calculated total energy = -2.254 eV per atom

Geometry as CIF:
```
data_CaCd3I8
_cell_length_a 15.1323
_cell_length_b 8.7273
_cell_length_c 9.1427
_cell_angle_alpha 90.00
_cell_angle_beta 123.89
_cell_angle_gamma 90.00
_symmetry_space_group_name_H-M 'C 1 2/m 1'
_symmetry_Int_Tables_number 12
_symmetry_space_group_name_Hall '-C 2y'
loop_
_atom_site_label
_atom_site_fract_x
_atom_site_fract_y
_atom_site_fract_z
Ca1 0.0000 0.0000 0.0000
Cd1 0.0000 0.5000 0.0000
Cd2 0.2500 0.2500 0.0000
I1 0.0075 0.2568 0.7680
I2 0.2423 0.5000 0.2252
I3 0.2496 0.0000 0.2318
```


Record 17
SiC4 after structural relaxation. Source: the Alexandria database, functional PBE.

## Properties
Formation energy (no corrections) = 2731 meV/atom
Density = 3.0 Mg/m³
Calculated total energy = -5.732 eV per atom
Energy above the most stable polymorph in this dataset = 1.377 eV/atom

Geometry as CIF:
```
data_SiC4
_cell_length_a 4.3826
_cell_length_b 4.3826
_cell_length_c 4.3826
_cell_angle_alpha 90.00
_cell_angle_beta 90.00
_cell_angle_gamma 90.00
_symmetry_space_group_name_H-M 'I m -3 m'
_symmetry_Int_Tables_number 229
_symmetry_space_group_name_Hall '-I 4 2 3'
loop_
_atom_site_label
_atom_site_fract_x
_atom_site_fract_y
_atom_site_fract_z
Si1 0.0000 0.0000 0.0000
C1 0.2500 0.2500 0.2500
```


Record 18
KRb2Li after structural relaxation. Source: the Alexandria database, functional PBE.

## Properties
ΔH_f (0 K) = 126 meV per atom
Density = 1.4 Mg/m³
Calculated total energy = -1.111 eV per atom
Energy above the most stable polymorph in this dataset = 0.012 eV/atom

Geometry as CIF:
```
data_KRb2Li
_cell_length_a 10.1461
_cell_length_b 10.1461
_cell_length_c 10.1461
_cell_angle_alpha 90.00
_cell_angle_beta 90.00
_cell_angle_gamma 90.00
_symmetry_space_group_name_H-M 'F m -3 m'
_symmetry_Int_Tables_number 225
_symmetry_space_group_name_Hall '-F 4 2 3'
loop_
_atom_site_label
_atom_site_fract_x
_atom_site_fract_y
_atom_site_fract_z
K1 0.0000 0.0000 0.0000
Rb1 0.2500 0.2500 0.2500
Li1 0.0000 0.0000 0.5000
```


Record 19
MnReBr2 after structural relaxation. Source: the Alexandria database, functional PBE.

## Properties
Formation energy (no corrections) = 396 meV/atom
Density = 6.7 Mg/m³
Calculated total energy = -5.845 eV per atom
Energy above the most stable polymorph in this dataset = 0.188 eV/atom

Geometry as CIF:
```
data_MnReBr2
_cell_length_a 15.5370
_cell_length_b 3.1410
_cell_length_c 4.0909
_cell_angle_alpha 90.00
_cell_angle_beta 97.45
_cell_angle_gamma 90.00
_symmetry_space_group_name_H-M 'C 1 2/m 1'
_symmetry_Int_Tables_number 12
_symmetry_space_group_name_Hall '-C 2y'
loop_
_atom_site_label
_atom_site_fract_x
_atom_site_fract_y
_atom_site_fract_z
Mn1 0.0000 0.0000 0.0000
Re1 0.0000 0.5000 0.5000
Br1 0.1559 0.5000 0.6593
```


Record 20
LiScPt3 after structural relaxation. Source: the Alexandria database, functional PBE.

## Properties
ΔH_f (0 K) = 315 meV per atom
Density = 9.2 Mg/m³
Calculated total energy = -4.958 eV per atom
Energy above the most stable polymorph in this dataset = 0.739 eV/atom

Geometry as CIF:
```
data_LiScPt3
_cell_length_a 4.8611
_cell_length_b 4.8611
_cell_length_c 4.8611
_cell_angle_alpha 90.00
_cell_angle_beta 90.00
_cell_angle_gamma 90.00
_symmetry_space_group_name_H-M 'P m -3 m'
_symmetry_Int_Tables_number 221
_symmetry_space_group_name_Hall '-P 4 2 3'
loop_
_atom_site_label
_atom_site_fract_x
_atom_site_fract_y
_atom_site_fract_z
Li1 0.0000 0.0000 0.0000
Sc1 0.5000 0.5000 0.5000
Pt1 0.0000 0.5000 0.5000
```